Compound: Be2GaFe5W2
Source: Alexandria via LeMat-Bulk
Functional: GGA-PBE
Structure: optimized geometry

Computed properties:
* symmetry: P4/mbm (127)
* energy of formation from the pure elements: -0.05 eV/atom

Unit cell a=8.682 b=8.682 c=2.933 alpha=90.00 beta=90.00 gamma=90.00
Fractional positions:
Be (0.122, 0.378, 0.000)
Be (0.378, 0.878, 0.000)
Be (0.622, 0.122, 0.000)
Be (0.878, 0.622, 0.000)
Ga (0.000, 0.000, 0.000)
Ga (0.500, 0.500, 0.000)
Fe (0.000, 0.500, 0.500)
Fe (0.067, 0.212, 0.500)
Fe (0.212, 0.933, 0.500)
Fe (0.288, 0.433, 0.500)
Fe (0.433, 0.712, 0.500)
Fe (0.500, 0.000, 0.500)
Fe (0.567, 0.288, 0.500)
Fe (0.712, 0.567, 0.500)
Fe (0.788, 0.067, 0.500)
Fe (0.933, 0.788, 0.500)
W (0.175, 0.675, 0.000)
W (0.325, 0.175, 0.000)
W (0.675, 0.825, 0.000)
W (0.825, 0.325, 0.000)